1.
DFT (GGA-PBEsol) results for a relaxed CuAs2OsSe crystal.

M_tot in μB per formula unit: 0.00
E_form (uncorrected) in eV/atom: 0.95
Crystal system: tetragonal

Unit cell a=4.5824 b=4.5824 c=5.3748 alpha=90.00 beta=90.00 gamma=90.00
With the nearest neighbours (Å) after each atom.
Space group P4/mmm (No. 123)
Unique sites:
1 Cu 0.0000 0.0000 0.0000 (multiplicity 1)  4 Se 3.24, 8 As 3.53
2 As 0.0000 0.5000 0.5000 (multiplicity 2)  2 Os 2.29
3 Os 0.5000 0.5000 0.5000 (multiplicity 1)  4 As 2.29
4 Se 0.5000 0.5000 0.0000 (multiplicity 1)  2 Os 2.69

2.
DFT (GGA-PBEsol) results for a relaxed TlCuAsOs2 crystal.

M_tot in μB per formula unit: 0.00
Crystal system: tetragonal
DFT formation energy in kJ per mole of atoms: 181.68

Unit cell a=4.5672 b=4.5672 c=4.5524 alpha=90.00 beta=90.00 gamma=90.00
With the nearest neighbours (Å) after each atom.
Space group P4/mmm (No. 123)
Unique sites:
1 Tl 0.0000 0.0000 0.0000 (multiplicity 1)  2 Cu 2.28
2 Cu 0.0000 0.0000 0.5000 (multiplicity 1)  2 Tl 2.28, 4 Os 2.28
3 As 0.5000 0.5000 0.0000 (multiplicity 1)  8 Os 3.22, 4 Tl 3.23
4 Os 0.0000 0.5000 0.5000 (multiplicity 2)  2 Cu 2.28

3.
DFT (GGA-PBEsol) results for a relaxed Cu2AsP crystal.

M_tot in μB per formula unit: 0.00
Crystal system: cubic
DFT formation energy in kJ per mole of atoms: 42.41
Energy above the most stable polymorph in this dataset in meV per atom: 313

Unit cell a=6.1017 b=6.1017 c=6.1017 alpha=90.00 beta=90.00 gamma=90.00
With the nearest neighbours (Å) after each atom.
Space group F-43m (No. 216)
Unique sites:
1 Cu 0.0000 0.0000 0.0000 (multiplicity 4)  4 As 2.64, 4 Cu 2.64
2 Cu 0.2500 0.2500 0.2500 (multiplicity 4)  4 P 2.64, 4 Cu 2.64
3 As 0.2500 0.2500 0.7500 (multiplicity 4)  4 Cu 2.64, 4 P 2.64
4 P 0.0000 0.0000 0.5000 (multiplicity 4)  4 As 2.64, 4 Cu 2.64

4.
DFT (GGA-PBEsol) results for a relaxed Cu2AsP crystal.

M_tot in μB per formula unit: 0.00
Crystal system: orthorhombic
DFT formation energy in kJ per mole of atoms: 12.18
Energy above the most stable polymorph in this dataset in meV per atom: 0

Unit cell a=2.5778 b=3.5360 c=6.4137 alpha=90.00 beta=90.00 gamma=90.00
With the nearest neighbours (Å) after each atom.
Space group Pmm2 (No. 25)
Unique sites:
1 Cu 0.0000 0.0000 0.0000 (multiplicity 1)  1 P 2.47, 4 As 2.57, 6 Cu 2.58-2.61
2 Cu 0.5000 0.5000 0.2210 (multiplicity 1)  4 P 2.43, 6 Cu 2.58-2.61
3 As 0.5000 0.5000 0.7884 (multiplicity 1)  5 Cu 2.57-2.77, 2 As 2.58
4 P 0.0000 0.0000 0.3849 (multiplicity 1)  5 Cu 2.43-2.47, 2 P 2.58

5.
DFT (GGA-PBEsol) results for a relaxed Cu3AsP crystal.

M_tot in μB per formula unit: 0.01
Crystal system: cubic
DFT formation energy in kJ per mole of atoms: 79.00

Unit cell a=4.4304 b=4.4304 c=4.4304 alpha=90.00 beta=90.00 gamma=90.00
With the nearest neighbours (Å) after each atom.
Space group Pm-3m (No. 221)
Unique sites:
1 Cu 0.0000 0.0000 0.5000 (multiplicity 3)  2 As 2.22
2 As 0.0000 0.0000 0.0000 (multiplicity 1)  6 Cu 2.22
3 P 0.5000 0.5000 0.5000 (multiplicity 1)  12 Cu 3.13

6.
DFT (GGA-PBEsol) results for a relaxed Cu2AsP crystal.

M_tot in μB per formula unit: 0.00
Crystal system: orthorhombic
DFT formation energy in kJ per mole of atoms: 26.54
Energy above the most stable polymorph in this dataset in meV per atom: 149

Unit cell a=3.7720 b=4.1231 c=7.1123 alpha=90.00 beta=90.00 gamma=90.00
With the nearest neighbours (Å) after each atom.
Space group Immm (No. 71)
Unique sites:
1 Cu 0.0000 0.0000 0.2446 (multiplicity 4)  4 P 2.57-2.75, 4 As 2.62-2.70, 4 Cu 2.80
2 As 0.0000 0.5000 0.0000 (multiplicity 2)  8 Cu 2.62-2.70, 4 P 2.79
3 P 0.0000 0.5000 0.5000 (multiplicity 2)  8 Cu 2.57-2.75, 4 As 2.79